Here is crystalline HoB4Os at its relaxed geometry from Alexandria. Energies are from PBE-GGA.

```
data_HoB4Os
_cell_length_a 5.9597
_cell_length_b 11.5238
_cell_length_c 3.5628
_cell_angle_alpha 90.00
_cell_angle_beta 90.00
_cell_angle_gamma 90.00
_symmetry_space_group_name_H-M 'P 1'
_symmetry_Int_Tables_number 1
loop_
_symmetry_equiv_pos_as_xyz
'x,y,z'
loop_
_atom_site_label
_atom_site_fract_x
_atom_site_fract_y
_atom_site_fract_z
_atom_site_occupancy
Ho1 0.1283 0.1501 0.0000 1
Ho2 0.3717 0.6501 0.0000 1
Ho3 0.6283 0.3499 0.0000 1
Ho4 0.8717 0.8499 0.0000 1
B1 0.0247 0.6916 0.5000 1
B2 0.1126 0.5468 0.5000 1
B3 0.1359 0.9699 0.5000 1
B4 0.2105 0.8141 0.5000 1
B5 0.2895 0.3141 0.5000 1
B6 0.3641 0.4699 0.5000 1
B7 0.3874 0.0468 0.5000 1
B8 0.4753 0.1916 0.5000 1
B9 0.5247 0.8084 0.5000 1
B10 0.6126 0.9532 0.5000 1
B11 0.6359 0.5301 0.5000 1
B12 0.7105 0.6859 0.5000 1
B13 0.7895 0.1859 0.5000 1
B14 0.8641 0.0301 0.5000 1
B15 0.8874 0.4532 0.5000 1
B16 0.9753 0.3084 0.5000 1
Os1 0.1416 0.4064 0.0000 1
Os2 0.3584 0.9064 0.0000 1
Os3 0.6416 0.0936 0.0000 1
Os4 0.8584 0.5936 0.0000 1
```

Values from the calculation:
space group = Pbam (55)
ΔH_f (0 K) = -0.59 eV/atom
VASP energy = -46.05 eV/f.u.
size of the total moment = 0.000 μB per cell


Here is crystalline HoBOs at its relaxed geometry from Alexandria. Energies are from PBE-GGA.

```
data_HoBOs
_cell_length_a 4.9690
_cell_length_b 3.1855
_cell_length_c 5.8276
_cell_angle_alpha 90.00
_cell_angle_beta 99.81
_cell_angle_gamma 90.00
_symmetry_space_group_name_H-M 'P 1'
_symmetry_Int_Tables_number 1
loop_
_symmetry_equiv_pos_as_xyz
'x,y,z'
loop_
_atom_site_label
_atom_site_fract_x
_atom_site_fract_y
_atom_site_fract_z
_atom_site_occupancy
Ho1 0.0579 0.2500 0.2617 1
Ho2 0.9421 0.7500 0.7383 1
B1 0.4073 0.7500 0.5316 1
B2 0.5927 0.2500 0.4684 1
Os1 0.4463 0.2500 0.8016 1
Os2 0.5537 0.7500 0.1984 1
```

Values from the calculation:
space group = P2_1/m (11)
ΔH_f (0 K) = -0.36 eV/atom
VASP energy = -23.56 eV/f.u.
polymorph energy (0 for the lowest one) = 35 meV/atom
size of the total moment = 0.000 μB per cell